1.
The following is a GGA-PBE calculation of a relaxed structure of SrRe2, from the Alexandria database.

Final energy: -8.26 eV/atom
D(E_F): 1.062 states/eV per atom
ΔH_f (0 K): 598 meV/atom

a = 3.206 Å, b = 3.206 Å, c = 12.555 Å
α = 90.00°, β = 90.00°, γ = 90.00°
Space group I4/mmm (No. 139)
Asymmetric unit:
Sr 0.000 0.000 0.000 [2 per cell]
Re 0.000 0.000 0.296 [4 per cell]

=====

2.
The following is a GGA-PBE calculation of a relaxed structure of SrRe7, from the Alexandria database.

Final energy: -10.16 eV/atom
D(E_F): 1.555 states/eV per atom
ΔH_f (0 K): 938 meV/atom

a = 8.049 Å, b = 8.049 Å, c = 8.049 Å
α = 90.00°, β = 90.00°, γ = 90.00°
Space group Fm-3m (No. 225)
Asymmetric unit:
Sr 0.000 0.000 0.000 [4 per cell]
Re 0.000 0.000 0.500 [4 per cell]
Re 0.000 0.250 0.250 [24 per cell]

=====

3.
The following is a GGA-PBE calculation of a relaxed structure of SrRe, from the Alexandria database.

Energy above the lowest structure with this stoichiometry: 272.9 meV/atom
Final energy: -6.45 eV/atom
D(E_F): 0.950 states/eV per atom
ΔH_f (0 K): 611 meV/atom

a = 4.1098 Å, b = 4.1098 Å, c = 9.3355 Å
α = 90.00°, β = 90.00°, γ = 120.00°
Space group P-3m1 (No. 164)
Asymmetric unit:
Sr 0.3333 0.6667 0.2009 [2 per cell]
Re 0.3333 0.6667 0.5298 [2 per cell]

=====

4.
The following is a GGA-PBE calculation of a relaxed structure of SrRe, from the Alexandria database.

Energy above the lowest structure with this stoichiometry: 442.8 meV/atom
Final energy: -6.28 eV/atom
D(E_F): 0.972 states/eV per atom
ΔH_f (0 K): 781 meV/atom

a = 9.450 Å, b = 7.041 Å, c = 6.590 Å
α = 90.00°, β = 90.00°, γ = 90.00°
Space group Cmcm (No. 63)
Asymmetric unit:
Sr 0.201 0.021 0.250 [8 per cell]
Re 0.000 0.343 0.567 [8 per cell]

=====

5.
The following is a GGA-PBE calculation of a relaxed structure of Sr2Re, from the Alexandria database.

Energy above the lowest structure with this stoichiometry: 680.6 meV/atom
Final energy: -4.15 eV/atom
D(E_F): 0.553 states/eV per atom
ΔH_f (0 K): 1120 meV/atom

a = 5.4988 Å, b = 5.4988 Å, c = 2.9328 Å
α = 90.00°, β = 90.00°, γ = 120.00°
Space group P6/mmm (No. 191)
Asymmetric unit:
Sr 0.3333 0.6667 0.0000 [2 per cell]
Re 0.0000 0.0000 0.5000 [1 per cell]

=====

6.
The following is a GGA-PBE calculation of a relaxed structure of SrRe2, from the Alexandria database.

Final energy: -8.22 eV/atom
D(E_F): 0.451 states/eV per atom
ΔH_f (0 K): 644 meV/atom

a = 4.1616 Å, b = 4.1616 Å, c = 5.1093 Å
α = 90.00°, β = 90.00°, γ = 120.00°
Space group P-3m1 (No. 164)
Asymmetric unit:
Sr 0.0000 0.0000 0.0000 [1 per cell]
Re 0.3333 0.6667 0.4762 [2 per cell]

=====

7.
The following is a GGA-PBE calculation of a relaxed structure of SrRe, from the Alexandria database.

Energy above the lowest structure with this stoichiometry: 929.4 meV/atom
Final energy: -5.80 eV/atom
D(E_F): 1.421 states/eV per atom
ΔH_f (0 K): 1268 meV/atom

a = 7.057 Å, b = 7.057 Å, c = 7.057 Å
α = 90.00°, β = 90.00°, γ = 90.00°
Space group Fd-3m (No. 227, origin choice 2)
Asymmetric unit:
Sr 0.125 0.125 0.125 [8 per cell]
Re 0.125 0.125 0.625 [8 per cell]

=====

8.
The following is a GGA-PBE calculation of a relaxed structure of Sr2Re, from the Alexandria database.

Energy above the lowest structure with this stoichiometry: 581.8 meV/atom
Final energy: -4.25 eV/atom
D(E_F): 1.087 states/eV per atom
ΔH_f (0 K): 1022 meV/atom

a = 3.567 Å, b = 3.567 Å, c = 15.389 Å
α = 90.00°, β = 90.00°, γ = 90.00°
Space group I4/mmm (No. 139)
Asymmetric unit:
Sr 0.000 0.000 0.127 [4 per cell]
Re 0.000 0.000 0.500 [2 per cell]

=====

9.
The following is a GGA-PBE calculation of a relaxed structure of SrRe, from the Alexandria database.

Energy above the lowest structure with this stoichiometry: 24.6 meV/atom
Final energy: -6.70 eV/atom
D(E_F): 1.149 states/eV per atom
ΔH_f (0 K): 363 meV/atom

a = 4.2496 Å, b = 4.2496 Å, c = 17.4112 Å
α = 90.00°, β = 90.00°, γ = 120.00°
Space group P6_3/mmc (No. 194)
Asymmetric unit:
Sr 0.3333 0.6667 0.1177 [4 per cell]
Re 0.0000 0.0000 0.2500 [2 per cell]
Re 0.3333 0.6667 0.7500 [2 per cell]

=====

10.
The following is a GGA-PBE calculation of a relaxed structure of Sr3Re5, from the Alexandria database.

Final energy: -7.79 eV/atom
D(E_F): 0.781 states/eV per atom
ΔH_f (0 K): 622 meV/atom

a = 4.924 Å, b = 9.487 Å, c = 9.520 Å
α = 106.64°, β = 97.91°, γ = 98.60°
Space group P-1 (No. 2)
Asymmetric unit:
Sr 0.207 0.418 0.078 [2 per cell]
Sr 0.250 0.390 0.610 [2 per cell]
Sr 0.291 0.924 0.583 [2 per cell]
Re 0.063 0.896 0.206 [2 per cell]
Re 0.198 0.179 0.243 [2 per cell]
Re 0.248 0.018 0.978 [2 per cell]
Re 0.305 0.757 0.821 [2 per cell]
Re 0.444 0.793 0.103 [2 per cell]

=====

11.
The following is a GGA-PBE calculation of a relaxed structure of Sr2Re, from the Alexandria database.

Energy above the lowest structure with this stoichiometry: 0.0 meV/atom
Final energy: -4.83 eV/atom
D(E_F): 1.343 states/eV per atom
ΔH_f (0 K): 440 meV/atom

a = 12.845 Å, b = 3.883 Å, c = 9.249 Å
α = 90.00°, β = 113.18°, γ = 90.00°
Space group C2/m (No. 12)
Asymmetric unit:
Sr 0.002 0.000 0.189 [4 per cell]
Sr 0.178 0.500 0.649 [4 per cell]
Re 0.211 0.500 0.037 [4 per cell]

=====

12.
The following is a GGA-PBE calculation of a relaxed structure of SrRe, from the Alexandria database.

Energy above the lowest structure with this stoichiometry: 1140.2 meV/atom
Final energy: -5.59 eV/atom
D(E_F): 1.162 states/eV per atom
ΔH_f (0 K): 1478 meV/atom

a = 2.9864 Å, b = 2.9864 Å, c = 16.4592 Å
α = 90.00°, β = 90.00°, γ = 120.00°
Space group R-3m (No. 166, hexagonal axes)
Asymmetric unit:
Sr 0.0000 0.0000 0.0000 [3 per cell]
Re 0.0000 0.0000 0.5000 [3 per cell]

=====

13.
The following is a GGA-PBE calculation of a relaxed structure of SrRe2, from the Alexandria database.

Final energy: -6.21 eV/atom
D(E_F): 0.803 states/eV per atom
ΔH_f (0 K): 2654 meV/atom

a = 7.240 Å, b = 7.240 Å, c = 7.240 Å
α = 90.00°, β = 90.00°, γ = 90.00°
Space group Pa-3 (No. 205)
Asymmetric unit:
Sr 0.000 0.000 0.000 [4 per cell]
Re 0.086 0.586 0.914 [8 per cell]

=====

14.
The following is a GGA-PBE calculation of a relaxed structure of Sr2Re, from the Alexandria database.

Energy above the lowest structure with this stoichiometry: 201.1 meV/atom
Final energy: -4.63 eV/atom
D(E_F): 0.891 states/eV per atom
ΔH_f (0 K): 641 meV/atom

a = 17.180 Å, b = 3.463 Å, c = 7.015 Å
α = 90.00°, β = 108.59°, γ = 90.00°
Space group C2/m (No. 12)
Asymmetric unit:
Sr 0.107 0.000 0.081 [4 per cell]
Sr 0.154 0.000 0.622 [4 per cell]
Re 0.001 0.500 0.338 [4 per cell]

=====

15.
The following is a GGA-PBE calculation of a relaxed structure of Sr2TaRe, from the Alexandria database.

Energy above the lowest structure with this stoichiometry: 756.4 meV/atom
Final energy: -5.75 eV/atom
D(E_F): 1.079 states/eV per atom
ΔH_f (0 K): 1162 meV/atom

a = 5.821 Å, b = 10.921 Å, c = 2.913 Å
α = 90.00°, β = 91.96°, γ = 90.00°
Space group C2/m (No. 12)
Asymmetric unit:
Sr 0.250 0.250 0.000 [4 per cell]
Ta 0.000 0.000 0.500 [2 per cell]
Re 0.000 0.500 0.500 [2 per cell]

=====

16.
The following is a GGA-PBE calculation of a relaxed structure of Sr2TaRe, from the Alexandria database.

Energy above the lowest structure with this stoichiometry: 247.1 meV/atom
Final energy: -6.26 eV/atom
D(E_F): 0.982 states/eV per atom
ΔH_f (0 K): 653 meV/atom

a = 3.601 Å, b = 5.745 Å, c = 10.951 Å
α = 90.00°, β = 90.00°, γ = 90.00°
Space group Imm2 (No. 44)
Asymmetric unit:
Sr 0.000 0.000 0.000 [2 per cell]
Sr 0.000 0.500 0.204 [2 per cell]
Ta 0.000 0.500 0.796 [2 per cell]
Re 0.000 0.000 0.448 [2 per cell]

=====

17.
The following is a GGA-PBE calculation of a relaxed structure of SrTa3Re, from the Alexandria database.

Energy above the lowest structure with this stoichiometry: 0.0 meV/atom
Final energy: -8.91 eV/atom
D(E_F): 1.297 states/eV per atom
ΔH_f (0 K): 1023 meV/atom

a = 4.986 Å, b = 4.986 Å, c = 4.986 Å
α = 90.00°, β = 90.00°, γ = 90.00°
Space group Pm-3m (No. 221)
Asymmetric unit:
Sr 0.000 0.000 0.000 [1 per cell]
Ta 0.000 0.500 0.500 [3 per cell]
Re 0.500 0.500 0.500 [1 per cell]

=====

18.
The following is a GGA-PBE calculation of a relaxed structure of Sr2TaRe, from the Alexandria database.

Energy above the lowest structure with this stoichiometry: 755.7 meV/atom
Final energy: -5.75 eV/atom
D(E_F): 1.188 states/eV per atom
ΔH_f (0 K): 1162 meV/atom

a = 11.742 Å, b = 11.742 Å, c = 4.752 Å
α = 90.00°, β = 90.00°, γ = 90.00°
Space group I-42d (No. 122)
Asymmetric unit:
Sr 0.081 0.750 0.125 [8 per cell]
Ta 0.000 0.000 0.500 [4 per cell]
Re 0.000 0.000 0.000 [4 per cell]

=====

19.
The following is a GGA-PBE calculation of a relaxed structure of SrTa3Re, from the Alexandria database.

Energy above the lowest structure with this stoichiometry: 2242.1 meV/atom
Final energy: -6.67 eV/atom
D(E_F): 0.752 states/eV per atom
ΔH_f (0 K): 3265 meV/atom

a = 4.726 Å, b = 4.726 Å, c = 4.726 Å
α = 90.00°, β = 90.00°, γ = 90.00°
Space group Pm-3m (No. 221)
Asymmetric unit:
Sr 0.000 0.000 0.000 [1 per cell]
Ta 0.000 0.000 0.500 [3 per cell]
Re 0.500 0.500 0.500 [1 per cell]

=====

20.
The following is a GGA-PBE calculation of a relaxed structure of Sr2TaRe, from the Alexandria database.

Energy above the lowest structure with this stoichiometry: 830.9 meV/atom
Final energy: -5.68 eV/atom
D(E_F): 0.852 states/eV per atom
ΔH_f (0 K): 1237 meV/atom

a = 2.929 Å, b = 2.929 Å, c = 10.951 Å
α = 90.00°, β = 90.00°, γ = 90.00°
Space group P4/mmm (No. 123)
Asymmetric unit:
Sr 0.000 0.000 0.236 [2 per cell]
Ta 0.500 0.500 0.500 [1 per cell]
Re 0.500 0.500 0.000 [1 per cell]

=====

21.
The following is a GGA-PBE calculation of a relaxed structure of Sr4TaRe, from the Alexandria database.

Final energy: -3.36 eV/atom
D(E_F): 1.170 states/eV per atom
ΔH_f (0 K): 1816 meV/atom

a = 9.201 Å, b = 9.201 Å, c = 9.201 Å
α = 90.00°, β = 90.00°, γ = 90.00°
Space group F-43m (No. 216)
Asymmetric unit:
Sr 0.125 0.125 0.125 [16 per cell]
Ta 0.250 0.250 0.750 [4 per cell]
Re 0.000 0.000 0.500 [4 per cell]

=====

22.
The following is a GGA-PBE calculation of a relaxed structure of Sr2TaRe, from the Alexandria database.

Energy above the lowest structure with this stoichiometry: 49.2 meV/atom
Final energy: -6.46 eV/atom
D(E_F): 0.508 states/eV per atom
ΔH_f (0 K): 455 meV/atom

a = 7.503 Å, b = 4.330 Å, c = 9.176 Å
α = 90.00°, β = 105.68°, γ = 90.00°
Space group Cm (No. 8)
Asymmetric unit:
Sr 0.000 0.000 0.000 [2 per cell]
Sr 0.176 0.000 0.533 [2 per cell]
Ta 0.421 0.000 0.267 [2 per cell]
Re 0.254 0.500 0.267 [2 per cell]

=====

23.
The following is a GGA-PBE calculation of a relaxed structure of Sr2TaRe, from the Alexandria database.

Energy above the lowest structure with this stoichiometry: 697.8 meV/atom
Final energy: -5.81 eV/atom
D(E_F): 0.874 states/eV per atom
ΔH_f (0 K): 1104 meV/atom

a = 4.103 Å, b = 4.103 Å, c = 10.963 Å
α = 90.00°, β = 90.00°, γ = 90.00°
Space group I4/mmm (No. 139)
Asymmetric unit:
Sr 0.000 0.500 0.250 [4 per cell]
Ta 0.000 0.000 0.000 [2 per cell]
Re 0.000 0.000 0.500 [2 per cell]

=====

24.
The following is a GGA-PBE calculation of a relaxed structure of Sr2TaRe, from the Alexandria database.

Energy above the lowest structure with this stoichiometry: 942.9 meV/atom
Final energy: -5.57 eV/atom
D(E_F): 1.012 states/eV per atom
ΔH_f (0 K): 1349 meV/atom

a = 3.1009 Å, b = 3.1009 Å, c = 33.8739 Å
α = 90.00°, β = 90.00°, γ = 120.00°
Space group R-3m (No. 166, hexagonal axes)
Asymmetric unit:
Sr 0.0000 0.0000 0.2456 [6 per cell]
Ta 0.0000 0.0000 0.0000 [3 per cell]
Re 0.0000 0.0000 0.5000 [3 per cell]

=====

25.
The following is a GGA-PBE calculation of a relaxed structure of Sr2TaRe, from the Alexandria database.

Energy above the lowest structure with this stoichiometry: 763.1 meV/atom
Final energy: -5.75 eV/atom
D(E_F): 1.063 states/eV per atom
ΔH_f (0 K): 1169 meV/atom

a = 2.913 Å, b = 5.451 Å, c = 5.832 Å
α = 90.00°, β = 92.52°, γ = 90.00°
Space group P2/m (No. 10)
Asymmetric unit:
Sr 0.007 0.000 0.255 [2 per cell]
Ta 0.500 0.500 0.000 [1 per cell]
Re 0.500 0.500 0.500 [1 per cell]

=====

26.
The following is a GGA-PBE calculation of a relaxed structure of Sr2TaRe, from the Alexandria database.

Energy above the lowest structure with this stoichiometry: 185.6 meV/atom
Final energy: -6.32 eV/atom
D(E_F): 1.256 states/eV per atom
ΔH_f (0 K): 592 meV/atom

a = 18.956 Å, b = 3.382 Å, c = 4.063 Å
α = 90.00°, β = 102.32°, γ = 90.00°
Space group C2/m (No. 12)
Asymmetric unit:
Sr 0.151 0.000 0.151 [4 per cell]
Ta 0.000 0.000 0.500 [2 per cell]
Re 0.000 0.500 0.000 [2 per cell]

=====

27.
The following is a GGA-PBE calculation of a relaxed structure of SrTa4Re, from the Alexandria database.

Final energy: -9.50 eV/atom
D(E_F): 1.476 states/eV per atom
ΔH_f (0 K): 760 meV/atom

a = 7.858 Å, b = 7.858 Å, c = 7.858 Å
α = 90.00°, β = 90.00°, γ = 90.00°
Space group F-43m (No. 216)
Asymmetric unit:
Sr 0.000 0.000 0.000 [4 per cell]
Ta 0.125 0.125 0.625 [16 per cell]
Re 0.250 0.250 0.250 [4 per cell]

=====

28.
The following is a GGA-PBE calculation of a relaxed structure of Sr3TaRe, from the Alexandria database.

Energy above the lowest structure with this stoichiometry: 238.8 meV/atom
Final energy: -3.79 eV/atom
D(E_F): 1.434 states/eV per atom
ΔH_f (0 K): 2083 meV/atom

a = 5.836 Å, b = 5.836 Å, c = 5.836 Å
α = 90.00°, β = 90.00°, γ = 90.00°
Space group Pm-3m (No. 221)
Asymmetric unit:
Sr 0.000 0.000 0.500 [3 per cell]
Ta 0.000 0.000 0.000 [1 per cell]
Re 0.500 0.500 0.500 [1 per cell]